Entry 1:
A plane-wave DFT calculation with PBE was carried out for a geometry-optimized ZrScOs2 structure.

Its volume is 68.8 Å³ per cell. The total DFT energy (no corrections) comes out at -9.45 eV per atom. The offset from the most stable computed form is 365 meV/atom. The calculation puts the formation energy at -110 meV per atom.

It has space group P2/m (No. 10), with a = 2.915 Å, b = 4.287 Å, c = 5.569 Å, α = 90.00°, β = 98.40° and γ = 90.00°. The inequivalent atoms are Zr at (0.000, 0.000, 0.000), Sc at (0.500, 0.000, 0.500) and Os at (0.258, 0.500, 0.728).

---

Entry 2:
A plane-wave DFT calculation with PBE was carried out for a geometry-optimized ZrSc4Os structure.

Its volume is 132.2 Å³ per cell. The total DFT energy (no corrections) comes out at -7.70 eV per atom. The offset from the most stable computed form is 0 meV/atom. The calculation puts the formation energy at -184 meV per atom.

It has space group P4/mmm (No. 123), with a = 3.243 Å, b = 3.243 Å, c = 12.570 Å, α = 90.00°, β = 90.00° and γ = 90.00°. The inequivalent atoms are Zr at (0.000, 0.000, 0.000), Sc at (0.000, 0.000, 0.378), Sc at (0.500, 0.500, 0.172) and Os at (0.500, 0.500, 0.500).

---

Entry 3:
A plane-wave DFT calculation with PBE was carried out for a geometry-optimized Zr6ScOs2 structure.

Its volume is 373.4 Å³ per cell. The total DFT energy (no corrections) comes out at -9.14 eV per atom. The calculation puts the formation energy at -245 meV per atom.

It has space group C2/m (No. 12), with a = 11.170 Å, b = 3.326 Å, c = 10.624 Å, α = 90.00°, β = 108.92° and γ = 90.00°. The inequivalent atoms are Zr at (0.018, 0.000, 0.321), Zr at (0.175, 0.500, 0.573), Zr at (0.190, 0.500, 0.877), Sc at (0.000, 0.000, 0.000) and Os at (0.164, 0.500, 0.220).

---

Entry 4:
A plane-wave DFT calculation with PBE was carried out for a geometry-optimized ZrSc2Os3 structure.

Its volume is 204.1 Å³ per cell. The total DFT energy (no corrections) comes out at -9.57 eV per atom. The calculation puts the formation energy at -420 meV per atom.

It has space group Cmmm (No. 65), with a = 4.580 Å, b = 13.712 Å, c = 3.251 Å, α = 90.00°, β = 90.00° and γ = 90.00°. The inequivalent atoms are Zr at (0.000, 0.000, 0.000), Sc at (0.000, 0.331, 0.000), Os at (0.000, 0.166, 0.500) and Os at (0.000, 0.500, 0.500).

---

Q: Among the records above, which one has the highest total DFT energy (no corrections)?
A: ZrSc4Os

---

Q: Which value of total DFT energy (no corrections) does entry 2 give?
A: -7.70 eV per atom

---

Q: Which value of total DFT energy (no corrections) does entry 2 give?
A: -7.70 eV per atom